(1)
Below is a geometry-optimized LaTb3Pr7 structure, with properties calculated at the GGA-PBE level.

## Properties
As for the space-group type: No. 12. As for the density of states at the Fermi level: 1.388 states/eV/atom. The magnetic moment comes out at 0.00 μB per formula unit. Its total energy is -4.55 eV/atom.

Cell and atoms, written as POSCAR:
```
LaTb3Pr7
1.0
5.9756 -5.1623 0.0000
5.9756 5.1623 0.0000
-0.6793 0.0000 6.4907
La Tb Pr
1 3 7
Direct
0.0000 0.0000 0.0000
0.3311 0.6689 0.5000
0.5000 0.5000 0.0000
0.6689 0.3311 0.5000
0.0000 0.0000 0.5000
0.0767 0.4281 0.7600
0.2658 0.2658 0.2876
0.4281 0.0767 0.7600
0.5719 0.9233 0.2400
0.7342 0.7342 0.7124
0.9233 0.5719 0.2400
```

(2)
Below is a geometry-optimized LaTb2Pr5 structure, with properties calculated at the GGA-PBE level.

## Properties
The excess energy over the best structure of this formula in the dataset comes out at 0 meV per atom. As for the space-group type: No. 55. As for the density of states at the Fermi level: 1.445 states/eV/atom. The magnetic moment comes out at 0.00 μB per formula unit. Its total energy is -4.75 eV/atom.

Cell and atoms, written as POSCAR:
```
LaTb2Pr5
1.0
7.3604 0.0000 0.0000
0.0000 14.7233 0.0000
0.0000 0.0000 5.1973
La Tb Pr
2 4 10
Direct
0.0000 0.0000 0.0000
0.5000 0.5000 0.0000
0.2485 0.1254 0.5000
0.2515 0.6254 0.5000
0.7485 0.3746 0.5000
0.7515 0.8746 0.5000
0.0000 0.5000 0.0000
0.0023 0.7493 0.0000
0.2488 0.3748 0.5000
0.2512 0.8748 0.5000
0.4977 0.2493 0.0000
0.5000 0.0000 0.0000
0.5023 0.7507 0.0000
0.7488 0.1252 0.5000
0.7512 0.6252 0.5000
0.9977 0.2507 0.0000
```

(3)
Below is a geometry-optimized LaTbPr structure, with properties calculated at the GGA-PBE level.

## Properties
The excess energy over the best structure of this formula in the dataset comes out at 7 meV per atom. As for the space-group type: No. 107. As for the density of states at the Fermi level: 1.793 states/eV/atom. The magnetic moment comes out at 0.00 μB per formula unit. Its total energy is -4.75 eV/atom.

Cell and atoms, written as POSCAR:
```
LaTbPr
1.0
-1.8455 1.8455 7.7658
1.8455 -1.8455 7.7658
1.8455 1.8455 -7.7658
La Tb Pr
1 1 1
Direct
0.0000 0.0000 0.0000
0.3346 0.3346 0.0000
0.6716 0.6716 0.0000
```

(4)
Below is a geometry-optimized La5Tb5Pr2 structure, with properties calculated at the GGA-PBE level.

## Properties
As for the space-group type: No. 12. As for the density of states at the Fermi level: 1.679 states/eV/atom. The magnetic moment comes out at 0.00 μB per formula unit. Its total energy is -4.76 eV/atom.

Cell and atoms, written as POSCAR:
```
La5Tb5Pr2
1.0
7.8094 -2.5856 0.0000
7.8094 2.5856 0.0000
-5.2199 0.0000 10.3317
La Tb Pr
5 5 2
Direct
0.0000 0.0000 0.0000
0.0825 0.0825 0.7518
0.2489 0.2489 0.2481
0.7511 0.7511 0.7519
0.9175 0.9175 0.2482
0.3332 0.3332 0.9997
0.4166 0.4166 0.7497
0.5000 0.5000 0.5000
0.5834 0.5834 0.2503
0.6668 0.6668 0.0003
0.1656 0.1656 0.4996
0.8344 0.8344 0.5004
```

(5)
Below is a geometry-optimized LaTbPr structure, with properties calculated at the GGA-PBE level.

## Properties
The excess energy over the best structure of this formula in the dataset comes out at 0 meV per atom. As for the space-group type: No. 156. As for the density of states at the Fermi level: 1.501 states/eV/atom. The magnetic moment comes out at 0.00 μB per formula unit. Its total energy is -4.76 eV/atom.

Cell and atoms, written as POSCAR:
```
LaTbPr
1.0
3.6706 0.0000 0.0000
-1.8353 3.1789 0.0000
0.0000 0.0000 9.0213
La Tb Pr
1 1 1
Direct
0.0000 0.0000 0.0000
0.3333 0.6667 0.6709
0.6667 0.3333 0.3454
```

(6)
Below is a geometry-optimized La2TbPr2 structure, with properties calculated at the GGA-PBE level.

## Properties
The excess energy over the best structure of this formula in the dataset comes out at 0 meV per atom. As for the space-group type: No. 11. As for the density of states at the Fermi level: 1.652 states/eV/atom. The magnetic moment comes out at 0.00 μB per formula unit. Its total energy is -4.78 eV/atom.

Cell and atoms, written as POSCAR:
```
La2TbPr2
1.0
6.4718 0.0000 0.0000
0.0000 5.9763 0.0000
-3.2261 0.0000 9.3425
La Tb Pr
4 2 4
Direct
0.0668 0.2500 0.3004
0.1375 0.7500 0.1001
0.8625 0.2500 0.8999
0.9332 0.7500 0.6996
0.2652 0.2500 0.6998
0.7348 0.7500 0.3002
0.3321 0.7500 0.5007
0.4685 0.2500 0.1018
0.5315 0.7500 0.8982
0.6679 0.2500 0.4993
```